Material: Pu2Br8O
Method: DFT, GGA-PBE
State: relaxed

Unit cell a=16.5017 b=11.0554 c=5.6620 alpha=90.00 beta=109.85 gamma=90.00
Last column: nearest neighbours and their distance in Å.
Space group C2/m (No. 12)
Inequivalent atoms, fractional coordinates:
Pu1 0.1311 0.0000 0.1297 [4 per cell]  1 O 2.04
Br1 0.1304 0.2401 0.1290 [8 per cell]  1 Pu 2.65
Br2 0.1319 0.0000 0.6305 [4 per cell]  2 Pu 2.83
Br3 0.1978 0.5000 0.7010 [4 per cell]  1 Pu 2.66
O1 0.0000 0.0000 0.0000 [2 per cell]  2 Pu 2.04

Output
Crystal system: monoclinic
M_tot: 0.545 μB/atom
Energy: -5.51 eV per atom